(1)
Compound: Sm3ZnGa2
Source: Alexandria via LeMat-Bulk
Functional: PBE
Structure: optimized geometry

Unit cell a=5.1650 b=5.1650 c=12.6348 alpha=90.00 beta=90.00 gamma=120.00
Closest atoms and distances in Å follow each position.
Atoms (fractional coordinates):
Sm: 0.0000 0.0000 0.2504  5 Ga 3.14-3.16, 3 Zn 3.16
Sm: 0.0000 0.0000 0.7496  5 Ga 3.14-3.16, 3 Zn 3.16
Sm: 0.3333 0.6667 0.4171  1 Zn 3.15, 7 Ga 3.16-3.22
Sm: 0.3333 0.6667 0.9173  4 Ga 3.11-3.16, 4 Zn 3.17
Sm: 0.6667 0.3333 0.0827  4 Ga 3.11-3.16, 4 Zn 3.17
Sm: 0.6667 0.3333 0.5829  1 Zn 3.15, 7 Ga 3.16-3.22
Zn: 0.3333 0.6667 0.1679  8 Sm 3.15-3.17
Zn: 0.6667 0.3333 0.8321  8 Sm 3.15-3.17
Ga: 0.0000 0.0000 0.0000  8 Sm 3.16
Ga: 0.0000 0.0000 0.5000  8 Sm 3.15-3.16
Ga: 0.3333 0.6667 0.6715  8 Sm 3.11-3.22
Ga: 0.6667 0.3333 0.3285  8 Sm 3.11-3.22

Total moment = 0.00 Bohr magnetons per cell
Theoretical density = 7.5 g/cm3
Formation energy = -0.50 eV/atom
Calculated total energy = -4.08 eV/atom
Relative energy among the computed polymorphs = 0 meV per atom
Symmetry = P-3m1


(2)
Compound: Ho2Al3Ag
Source: Alexandria via LeMat-Bulk
Functional: PBE
Structure: optimized geometry

Unit cell a=9.1486 b=8.6813 c=5.7713 alpha=75.57 beta=66.78 gamma=37.66
Closest atoms and distances in Å follow each position.
Atoms (fractional coordinates):
Ho: 0.2477 0.7523 0.7523  10 Al 3.16-3.18, 2 Ag 3.19, 1 Ho 3.50
Ho: 0.2500 0.2500 0.2500  4 Ag 3.17, 8 Al 3.18, 2 Ho 3.53
Ho: 0.7500 0.7500 0.7500  4 Ag 3.17, 8 Al 3.18, 2 Ho 3.53
Ho: 0.7523 0.2477 0.2477  10 Al 3.16-3.18, 2 Ag 3.19, 1 Ho 3.50
Al: 0.1667 0.6671 0.3329  2 Al 2.63-2.64, 1 Ag 2.65
Al: 0.3329 0.8333 0.1667  2 Al 2.63-2.64, 1 Ag 2.65
Al: 0.3344 0.3344 0.6656  2 Al 2.63, 1 Ag 2.64
Al: 0.6656 0.6656 0.3344  2 Al 2.63, 1 Ag 2.64
Al: 0.6671 0.1667 0.8333  2 Al 2.63-2.64, 1 Ag 2.65
Al: 0.8333 0.3329 0.6671  2 Al 2.63-2.64, 1 Ag 2.65
Ag: 0.1678 0.1678 0.8322  3 Al 2.64-2.65
Ag: 0.8322 0.8322 0.1678  3 Al 2.64-2.65

Total moment = 0.00 Bohr magnetons per cell
Theoretical density = 6.7 g/cm3
Formation energy = -0.45 eV/atom
Calculated total energy = -4.32 eV/atom
Relative energy among the computed polymorphs = 16 meV per atom
Symmetry = Fmmm


(3)
Compound: K4La
Source: Alexandria via LeMat-Bulk
Functional: PBE
Structure: optimized geometry

Unit cell a=7.2810 b=7.2810 c=7.2810 alpha=90.00 beta=90.00 gamma=90.00
Closest atoms and distances in Å follow each position.
Atoms (fractional coordinates):
K: 0.0000 0.0000 0.0000  12 K 5.15
K: 0.0000 0.5000 0.5000  2 La 3.64
K: 0.5000 0.0000 0.5000  2 La 3.64
K: 0.5000 0.5000 0.0000  2 La 3.64
La: 0.5000 0.5000 0.5000  6 K 3.64

Total moment = 3.95 Bohr magnetons per cell
Theoretical density = 1.3 g/cm3
Formation energy = 0.69 eV/atom
Calculated total energy = -1.17 eV/atom
Relative energy among the computed polymorphs = 189 meV per atom
Symmetry = Pm-3m


Q: What is the formula in the second record?
A: Ho2Al3Ag


Q: What is the calculated total energy in the first record?
A: -4.08 eV/atom